(1)
DFT (PBE) results for a relaxed structure of La6Pr2Al.

Values from the calculation:
Relative energy among the computed polymorphs ... 0.00 kcal/mol of atoms
Formation energy ... -70 meV/atom

The structure in CIF format:
```
data_La6Pr2Al
_cell_length_a 9.8130
_cell_length_b 9.8130
_cell_length_c 3.7556
_cell_angle_alpha 90.00
_cell_angle_beta 90.00
_cell_angle_gamma 120.00
_space_group_name_H-M_alt 'P -6 2 m'
_space_group_IT_number 189
_space_group_name_Hall 'P -6 -2'
loop_
_atom_site_label
_atom_site_fract_x
_atom_site_fract_y
_atom_site_fract_z
_atom_site_occupancy
La1 0.0000 0.2702 0.0000 1
La2 0.0000 0.6374 0.5000 1
Pr1 0.3333 0.6667 0.0000 1
Al1 0.0000 0.0000 0.5000 1
```

---

(2)
DFT (PBE) results for a relaxed structure of Ce4TmBi6.

Values from the calculation:
Formation energy ... -658 meV/atom

The structure in CIF format:
```
data_Ce4TmBi6
_cell_length_a 12.5184
_cell_length_b 12.5184
_cell_length_c 15.8730
_cell_angle_alpha 90.00
_cell_angle_beta 90.00
_cell_angle_gamma 120.00
_space_group_name_H-M_alt 'R -3 c'
_space_group_IT_number 167
_space_group_name_Hall '-R 3 2"c'
loop_
_atom_site_label
_atom_site_fract_x
_atom_site_fract_y
_atom_site_fract_z
_atom_site_occupancy
Ce1 0.0000 0.0000 0.2500 1
Ce2 0.0000 0.3888 0.2500 1
Tm1 0.0000 0.0000 0.0000 1
Bi1 0.0343 0.2125 0.3872 1
```

---

(3)
DFT (PBE) results for a relaxed structure of Zn2In2Cu.

Values from the calculation:
Relative energy among the computed polymorphs ... 1.46 kcal/mol of atoms
Formation energy ... 206 meV/atom

The structure in CIF format:
```
data_Zn2In2Cu
_cell_length_a 3.5061
_cell_length_b 3.5061
_cell_length_c 16.5116
_cell_angle_alpha 90.00
_cell_angle_beta 90.00
_cell_angle_gamma 90.00
_space_group_name_H-M_alt 'I 4/m m m'
_space_group_IT_number 139
_space_group_name_Hall '-I 4 2'
loop_
_atom_site_label
_atom_site_fract_x
_atom_site_fract_y
_atom_site_fract_z
_atom_site_occupancy
Zn1 0.0000 0.5000 0.2500 1
In1 0.0000 0.0000 0.0958 1
Cu1 0.0000 0.0000 0.5000 1
```

---

(4)
DFT (PBE) results for a relaxed structure of Ca2PrSm.

Values from the calculation:
Relative energy among the computed polymorphs ... 3.67 kcal/mol of atoms
Formation energy ... 197 meV/atom

The structure in CIF format:
```
data_Ca2PrSm
_cell_length_a 3.6156
_cell_length_b 3.6156
_cell_length_c 40.1286
_cell_angle_alpha 90.00
_cell_angle_beta 90.00
_cell_angle_gamma 120.00
_space_group_name_H-M_alt 'R -3 m'
_space_group_IT_number 166
_space_group_name_Hall '-R 3 2"'
loop_
_atom_site_label
_atom_site_fract_x
_atom_site_fract_y
_atom_site_fract_z
_atom_site_occupancy
Ca1 0.0000 0.0000 0.0886 1
Pr1 0.0000 0.0000 0.0000 1
Sm1 0.0000 0.0000 0.5000 1
```

---

(5)
DFT (PBE) results for a relaxed structure of LiGe2Ir2.

Values from the calculation:
Formation energy ... -305 meV/atom

The structure in CIF format:
```
data_LiGe2Ir2
_cell_length_a 4.2057
_cell_length_b 4.2124
_cell_length_c 5.3271
_cell_angle_alpha 66.83
_cell_angle_beta 66.83
_cell_angle_gamma 60.24
_space_group_name_H-M_alt 'P -1'
_space_group_IT_number 2
loop_
_space_group_symop_operation_xyz
'x,y,z'
'-x,-y,-z'
loop_
_atom_site_label
_atom_site_fract_x
_atom_site_fract_y
_atom_site_fract_z
_atom_site_occupancy
Li1 0.0000 0.0000 0.0000 1
Ge1 0.3981 0.4006 0.8011 1
Ir1 0.2207 0.2186 0.3396 1
```

---

(6)
DFT (PBE) results for a relaxed structure of DyPuMgIr.

Values from the calculation:
Formation energy ... -257 meV/atom

The structure in CIF format:
```
data_DyPuMgIr
_cell_length_a 7.0880
_cell_length_b 7.0880
_cell_length_c 7.0880
_cell_angle_alpha 90.00
_cell_angle_beta 90.00
_cell_angle_gamma 90.00
_space_group_name_H-M_alt 'F -4 3 m'
_space_group_IT_number 216
_space_group_name_Hall 'F -4 2 3'
loop_
_atom_site_label
_atom_site_fract_x
_atom_site_fract_y
_atom_site_fract_z
_atom_site_occupancy
Dy1 0.0000 0.0000 0.0000 1
Pu1 0.0000 0.0000 0.5000 1
Mg1 0.2500 0.2500 0.7500 1
Ir1 0.2500 0.2500 0.2500 1
```

---

(7)
DFT (PBE) results for a relaxed structure of Sm6Bi3H.

Values from the calculation:
Calculated total energy ... -4.834 eV/atom

The structure in CIF format:
```
data_Sm6Bi3H
_cell_length_a 12.0243
_cell_length_b 15.6305
_cell_length_c 6.3601
_cell_angle_alpha 90.00
_cell_angle_beta 90.00
_cell_angle_gamma 90.00
_space_group_name_H-M_alt 'C m c 21'
_space_group_IT_number 36
loop_
_space_group_symop_operation_xyz
'x,y,z'
'-x,-y,z+1/2'
'-x,y,z'
'x,-y,z+1/2'
'x+1/2,y+1/2,z'
'-x+1/2,-y+1/2,z+1/2'
'-x+1/2,y+1/2,z'
'x+1/2,-y+1/2,z+1/2'
loop_
_atom_site_label
_atom_site_fract_x
_atom_site_fract_y
_atom_site_fract_z
_atom_site_occupancy
Sm1 0.0000 0.0830 0.0000 1
Sm2 0.0000 0.2778 0.7388 1
Sm3 0.1804 0.2735 0.2151 1
Sm4 0.1928 0.4485 0.6447 1
Bi1 0.0000 0.4156 0.3043 1
Bi2 0.1384 0.1031 0.5107 1
H1 0.0000 0.2248 0.0766 1
```

---

(8)
DFT (PBE) results for a relaxed structure of Ca8Tl2Ir.

Values from the calculation:
Formation energy ... -284 meV/atom

The structure in CIF format:
```
data_Ca8Tl2Ir
_cell_length_a 18.6358
_cell_length_b 5.4575
_cell_length_c 7.1927
_cell_angle_alpha 90.00
_cell_angle_beta 109.00
_cell_angle_gamma 90.00
_space_group_name_H-M_alt 'C 1 2/m 1'
_space_group_IT_number 12
loop_
_space_group_symop_operation_xyz
'x,y,z'
'-x,-y,-z'
'-x,y,-z'
'x,-y,z'
'x+1/2,y+1/2,z'
'-x+1/2,-y+1/2,-z'
'-x+1/2,y+1/2,-z'
'x+1/2,-y+1/2,z'
loop_
_atom_site_label
_atom_site_fract_x
_atom_site_fract_y
_atom_site_fract_z
_atom_site_occupancy
Ca1 0.0216 0.0000 0.2974 1
Ca2 0.0928 0.5000 0.9122 1
Ca3 0.1478 0.5000 0.4497 1
Ca4 0.2075 0.0000 0.7897 1
Tl1 0.1807 0.0000 0.2087 1
Ir1 0.0000 0.5000 0.5000 1
```

---

(9)
DFT (PBE) results for a relaxed structure of ZrBiSb.

Values from the calculation:
Relative energy among the computed polymorphs ... 6.12 kcal/mol of atoms
ΔE_f (raw) ... -104 meV/atom

The structure in CIF format:
```
data_ZrBiSb
_cell_length_a 4.9656
_cell_length_b 4.9656
_cell_length_c 3.8369
_cell_angle_alpha 90.00
_cell_angle_beta 90.00
_cell_angle_gamma 120.00
_space_group_name_H-M_alt 'P -6 m 2'
_space_group_IT_number 187
_space_group_name_Hall 'P -6 2'
loop_
_atom_site_label
_atom_site_fract_x
_atom_site_fract_y
_atom_site_fract_z
_atom_site_occupancy
Zr1 0.0000 0.0000 0.0000 1
Bi1 0.3333 0.6667 0.5000 1
Sb1 0.6667 0.3333 0.0000 1
```

---

(10)
DFT (PBE) results for a relaxed structure of Cu2Se.

Values from the calculation:
ΔE_f (raw) ... 456 meV/atom

The structure in CIF format:
```
data_Cu2Se
_cell_length_a 2.8951
_cell_length_b 2.8951
_cell_length_c 19.9890
_cell_angle_alpha 90.00
_cell_angle_beta 90.00
_cell_angle_gamma 120.00
_space_group_name_H-M_alt 'P -3 m 1'
_space_group_IT_number 164
_space_group_name_Hall '-P 3 2"'
loop_
_atom_site_label
_atom_site_fract_x
_atom_site_fract_y
_atom_site_fract_z
_atom_site_occupancy
Cu1 0.0000 0.0000 0.0591 1
Cu2 0.3333 0.6667 0.6019 1
Cu3 0.3333 0.6667 0.7187 1
Se1 0.0000 0.0000 0.5000 1
Se2 0.3333 0.6667 0.8407 1
```

---

(11)
DFT (PBE) results for a relaxed structure of Pd2Au5.

Values from the calculation:
Relative energy among the computed polymorphs ... 0.00 kcal/mol of atoms
Formation energy ... -59 meV/atom

The structure in CIF format:
```
data_Pd2Au5
_cell_length_a 13.0492
_cell_length_b 4.9639
_cell_length_c 7.4655
_cell_angle_alpha 90.00
_cell_angle_beta 91.67
_cell_angle_gamma 90.00
_space_group_name_H-M_alt 'C 1 2/c 1'
_space_group_IT_number 15
loop_
_space_group_symop_operation_xyz
'x,y,z'
'-x,-y,-z'
'-x,y,-z+1/2'
'x,-y,z+1/2'
'x+1/2,y+1/2,z'
'-x+1/2,-y+1/2,-z'
'-x+1/2,y+1/2,-z+1/2'
'x+1/2,-y+1/2,z+1/2'
loop_
_atom_site_label
_atom_site_fract_x
_atom_site_fract_y
_atom_site_fract_z
_atom_site_occupancy
Pd1 0.0711 0.1722 0.1069 1
Au1 0.0000 0.3242 0.7500 1
Au2 0.1395 0.3275 0.4628 1
Au3 0.2140 0.1669 0.8217 1
```

---

(12)
DFT (PBE) results for a relaxed structure of GaHCl.

Values from the calculation:
Relative energy among the computed polymorphs ... 1.83 kcal/mol of atoms

The structure in CIF format:
```
data_GaHCl
_cell_length_a 3.5373
_cell_length_b 5.6638
_cell_length_c 5.7008
_cell_angle_alpha 75.41
_cell_angle_beta 89.60
_cell_angle_gamma 89.96
_space_group_name_H-M_alt 'P -1'
_space_group_IT_number 2
loop_
_space_group_symop_operation_xyz
'x,y,z'
'-x,-y,-z'
loop_
_atom_site_label
_atom_site_fract_x
_atom_site_fract_y
_atom_site_fract_z
_atom_site_occupancy
Ga1 0.0018 0.2643 0.2406 1
H1 0.4980 0.6912 0.8054 1
Cl1 0.0040 0.8097 0.3093 1
```

---

(13)
DFT (PBE) results for a relaxed structure of NiAgW2.

Values from the calculation:
Relative energy among the computed polymorphs ... 5.39 kcal/mol of atoms
Formation energy ... 489 meV/atom

The structure in CIF format:
```
data_NiAgW2
_cell_length_a 3.6528
_cell_length_b 3.8830
_cell_length_c 4.2456
_cell_angle_alpha 90.00
_cell_angle_beta 90.00
_cell_angle_gamma 90.00
_space_group_name_H-M_alt 'P m m m'
_space_group_IT_number 47
loop_
_space_group_symop_operation_xyz
'x,y,z'
'-x,-y,-z'
'-x,-y,z'
'x,y,-z'
'x,-y,-z'
'-x,y,z'
'-x,y,-z'
'x,-y,z'
loop_
_atom_site_label
_atom_site_fract_x
_atom_site_fract_y
_atom_site_fract_z
_atom_site_occupancy
Ni1 0.0000 0.0000 0.0000 1
Ag1 0.5000 0.5000 0.0000 1
W1 0.0000 0.5000 0.5000 1
W2 0.5000 0.0000 0.5000 1
```

---

(14)
DFT (PBE) results for a relaxed structure of InIrRu4.

Values from the calculation:
Formation energy ... 554 meV/atom

The structure in CIF format:
```
data_InIrRu4
_cell_length_a 7.2388
_cell_length_b 7.2388
_cell_length_c 7.2388
_cell_angle_alpha 90.00
_cell_angle_beta 90.00
_cell_angle_gamma 90.00
_space_group_name_H-M_alt 'F -4 3 m'
_space_group_IT_number 216
_space_group_name_Hall 'F -4 2 3'
loop_
_atom_site_label
_atom_site_fract_x
_atom_site_fract_y
_atom_site_fract_z
_atom_site_occupancy
In1 0.0000 0.0000 0.0000 1
Ir1 0.2500 0.2500 0.2500 1
Ru1 0.1244 0.1244 0.6244 1
```

---

(15)
DFT (PBE) results for a relaxed structure of PmErS2O8.

Values from the calculation:
ΔE_f (raw) ... -1838 meV/atom

The structure in CIF format:
```
data_PmErS2O8
_cell_length_a 5.6506
_cell_length_b 5.6506
_cell_length_c 6.4597
_cell_angle_alpha 90.00
_cell_angle_beta 90.00
_cell_angle_gamma 120.00
_space_group_name_H-M_alt 'P -3 m 1'
_space_group_IT_number 164
_space_group_name_Hall '-P 3 2"'
loop_
_atom_site_label
_atom_site_fract_x
_atom_site_fract_y
_atom_site_fract_z
_atom_site_occupancy
Pm1 0.0000 0.0000 0.0000 1
Er1 0.0000 0.0000 0.5000 1
S1 0.3333 0.6667 0.2056 1
O1 0.1844 0.3687 0.2790 1
O2 0.3333 0.6667 0.9789 1
```

---

(16)
DFT (PBE) results for a relaxed structure of TlGaHg.

Values from the calculation:
Formation energy ... 30 meV/atom

The structure in CIF format:
```
data_TlGaHg
_cell_length_a 4.6534
_cell_length_b 6.2167
_cell_length_c 6.2398
_cell_angle_alpha 78.14
_cell_angle_beta 68.95
_cell_angle_gamma 68.53
_space_group_name_H-M_alt 'P -1'
_space_group_IT_number 2
loop_
_space_group_symop_operation_xyz
'x,y,z'
'-x,-y,-z'
loop_
_atom_site_label
_atom_site_fract_x
_atom_site_fract_y
_atom_site_fract_z
_atom_site_occupancy
Tl1 0.0716 0.1728 0.1805 1
Ga1 0.3412 0.5985 0.2003 1
Hg1 0.3382 0.2448 0.5893 1
```

---

(17)
DFT (PBE) results for a relaxed structure of RbFeCuAg2.

Values from the calculation:
Formation energy ... 2068 meV/atom

The structure in CIF format:
```
data_RbFeCuAg2
_cell_length_a 5.6702
_cell_length_b 5.6702
_cell_length_c 5.2661
_cell_angle_alpha 90.00
_cell_angle_beta 90.00
_cell_angle_gamma 90.00
_space_group_name_H-M_alt 'P 4/m m m'
_space_group_IT_number 123
_space_group_name_Hall '-P 4 2'
loop_
_atom_site_label
_atom_site_fract_x
_atom_site_fract_y
_atom_site_fract_z
_atom_site_occupancy
Rb1 0.0000 0.0000 0.0000 1
Fe1 0.0000 0.0000 0.5000 1
Cu1 0.5000 0.5000 0.5000 1
Ag1 0.0000 0.5000 0.0000 1
```

---

(18)
DFT (PBE) results for a relaxed structure of LiAlCr2.

Values from the calculation:
Formation energy ... 212 meV/atom

The structure in CIF format:
```
data_LiAlCr2
_cell_length_a 8.4089
_cell_length_b 2.4803
_cell_length_c 4.8723
_cell_angle_alpha 90.00
_cell_angle_beta 92.97
_cell_angle_gamma 90.00
_space_group_name_H-M_alt 'C 1 m 1'
_space_group_IT_number 8
loop_
_space_group_symop_operation_xyz
'x,y,z'
'x,-y,z'
'x+1/2,y+1/2,z'
'x+1/2,-y+1/2,z'
loop_
_atom_site_label
_atom_site_fract_x
_atom_site_fract_y
_atom_site_fract_z
_atom_site_occupancy
Li1 0.0000 0.0000 0.0000 1
Al1 0.2502 0.0000 0.7657 1
Cr1 0.0126 0.5000 0.4830 1
Cr2 0.2538 0.5000 0.2781 1
```

---

(19)
DFT (PBE) results for a relaxed structure of HfBe3Cl.

Values from the calculation:
Relative energy among the computed polymorphs ... 16.34 kcal/mol of atoms
ΔE_f (raw) ... 1745 meV/atom

The structure in CIF format:
```
data_HfBe3Cl
_cell_length_a 5.0900
_cell_length_b 5.0900
_cell_length_c 5.0900
_cell_angle_alpha 90.00
_cell_angle_beta 90.00
_cell_angle_gamma 90.00
_space_group_name_H-M_alt 'P m -3 m'
_space_group_IT_number 221
_space_group_name_Hall '-P 4 2 3'
loop_
_atom_site_label
_atom_site_fract_x
_atom_site_fract_y
_atom_site_fract_z
_atom_site_occupancy
Hf1 0.0000 0.0000 0.0000 1
Be1 0.0000 0.0000 0.5000 1
Cl1 0.5000 0.5000 0.5000 1
```

---

(20)
DFT (PBE) results for a relaxed structure of BaAlCdGa2.

Values from the calculation:
Formation energy ... -357 meV/atom

The structure in CIF format:
```
data_BaAlCdGa2
_cell_length_a 4.6212
_cell_length_b 4.6212
_cell_length_c 11.3741
_cell_angle_alpha 90.00
_cell_angle_beta 90.00
_cell_angle_gamma 90.00
_space_group_name_H-M_alt 'I -4 m 2'
_space_group_IT_number 119
_space_group_name_Hall 'I -4 -2'
loop_
_atom_site_label
_atom_site_fract_x
_atom_site_fract_y
_atom_site_fract_z
_atom_site_occupancy
Ba1 0.0000 0.0000 0.0000 1
Al1 0.0000 0.5000 0.2500 1
Cd1 0.0000 0.5000 0.7500 1
Ga1 0.0000 0.0000 0.3848 1
```

---

(21)
DFT (PBE) results for a relaxed structure of FeSb2AsN.

Values from the calculation:
ΔE_f (raw) ... 506 meV/atom

The structure in CIF format:
```
data_FeSb2AsN
_cell_length_a 5.0546
_cell_length_b 5.0546
_cell_length_c 3.5672
_cell_angle_alpha 90.00
_cell_angle_beta 90.00
_cell_angle_gamma 90.00
_space_group_name_H-M_alt 'P 4/m m m'
_space_group_IT_number 123
_space_group_name_Hall '-P 4 2'
loop_
_atom_site_label
_atom_site_fract_x
_atom_site_fract_y
_atom_site_fract_z
_atom_site_occupancy
Fe1 0.0000 0.0000 0.0000 1
Sb1 0.0000 0.5000 0.5000 1
As1 0.5000 0.5000 0.0000 1
N1 0.0000 0.0000 0.5000 1
```